1.
The following is a DFT calculation (GGA-PBEsol) of crystalline MgBiS2 at its relaxed geometry.

The total moment comes out at 0.00 μB/f.u. The value obtained for the formation energy (no corrections) is -2.3 eV/f.u.

The space group is R-3m (No. 166, hexagonal axes) and the conventional cell measures 3.6781, 3.6781 and 24.0035 Å, with angles of 90.00, 90.00 and 120.00 degrees. Symmetry generates all atoms from Mg at (0.0000, 0.0000, 0.0000), Bi at (0.0000, 0.0000, 0.5000) and S at (0.0000, 0.0000, 0.3903).



2.
The following is a DFT calculation (GGA-PBEsol) of crystalline MgBiSbTe2 at its relaxed geometry.

The total moment comes out at 0.00 μB/f.u. The value obtained for the formation energy (no corrections) is 1.5 eV/f.u.

The space group is P4/mmm (No. 123) and the conventional cell measures 5.3400, 5.3400 and 5.3095 Å, with angles of 90.00, 90.00 and 90.00 degrees. Symmetry generates all atoms from Mg at (0.0000, 0.0000, 0.0000), Bi at (0.5000, 0.5000, 0.5000), Sb at (0.0000, 0.0000, 0.5000) and Te at (0.0000, 0.5000, 0.0000).



3.
The following is a DFT calculation (GGA-PBEsol) of crystalline MgSc2Bi at its relaxed geometry.

The total moment comes out at 0.00 μB/f.u. For the total energy, the calculation gives -4.71 eV/atom.

The space group is R-3m (No. 166, hexagonal axes) and the conventional cell measures 3.3339, 3.3339 and 32.5412 Å, with angles of 90.00, 90.00 and 120.00 degrees. Symmetry generates all atoms from Mg at (0.0000, 0.0000, 0.0000), Sc at (0.0000, 0.0000, 0.4089) and Bi at (0.0000, 0.0000, 0.5000).



4.
The following is a DFT calculation (GGA-PBEsol) of crystalline MgScBi2 at its relaxed geometry.

The total moment comes out at 0.00 μB/f.u. For the total energy, the calculation gives -4.45 eV/atom.

The space group is I-42d (No. 122) and the conventional cell measures 7.9916, 7.9916 and 6.7748 Å, with angles of 90.00, 90.00 and 90.00 degrees. Symmetry generates all atoms from Mg at (0.0000, 0.0000, 0.0000), Sc at (0.0000, 0.0000, 0.5000) and Bi at (0.2464, 0.7500, 0.1250).



5.
The following is a DFT calculation (GGA-PBEsol) of crystalline MgSiBi3 at its relaxed geometry.

The total moment comes out at 0.00 μB/f.u. The value obtained for the formation energy (no corrections) is 4.3 eV/f.u.

The space group is Pm-3m (No. 221) and the conventional cell measures 5.3848, 5.3848 and 5.3848 Å, with angles of 90.00, 90.00 and 90.00 degrees. Symmetry generates all atoms from Mg at (0.0000, 0.0000, 0.0000), Si at (0.5000, 0.5000, 0.5000) and Bi at (0.0000, 0.0000, 0.5000).



6.
The following is a DFT calculation (GGA-PBEsol) of crystalline Mg2SnBi at its relaxed geometry.

The total moment comes out at 0.00 μB/f.u. For the total energy, the calculation gives -3.10 eV/atom.

The space group is Fm-3m (No. 225) and the conventional cell measures 7.3462, 7.3462 and 7.3462 Å, with angles of 90.00, 90.00 and 90.00 degrees. Symmetry generates all atoms from Mg at (0.2500, 0.2500, 0.2500), Sn at (0.0000, 0.0000, 0.0000) and Bi at (0.0000, 0.0000, 0.5000).



> total moment of number 4 (MgScBi2)?

0.00 μB/f.u.



Copy entry 2 word for word.
The following is a DFT calculation (GGA-PBEsol) of crystalline MgBiSbTe2 at its relaxed geometry.

The total moment comes out at 0.00 μB/f.u. The value obtained for the formation energy (no corrections) is 1.5 eV/f.u.

The space group is P4/mmm (No. 123) and the conventional cell measures 5.3400, 5.3400 and 5.3095 Å, with angles of 90.00, 90.00 and 90.00 degrees. Symmetry generates all atoms from Mg at (0.0000, 0.0000, 0.0000), Bi at (0.5000, 0.5000, 0.5000), Sb at (0.0000, 0.0000, 0.5000) and Te at (0.0000, 0.5000, 0.0000).



> total moment of number 5 (MgSiBi3)?

0.00 μB/f.u.



> What is the total moment in the fourth record?

0.00 μB/f.u.